{
  "formula": "Sm3Zn2",
  "functional": "PBE",
  "state": "relaxed",
  "cell": [[3.6388, 0.0000, 0.0000], [0.0000, 3.6388, 0.0000], [0.0000, 0.0000, 19.7094]],
  "species": ["Sm", "Sm", "Sm", "Sm", "Sm", "Sm", "Zn", "Zn", "Zn", "Zn"],
  "frac_coords": [[0.0000, 0.0000, 0.0000], [0.0000, 0.0000, 0.1838], [0.0000, 0.0000, 0.3684], [0.0000, 0.0000, 0.6316], [0.0000, 0.0000, 0.8162], [0.5000, 0.5000, 0.5000], [0.5000, 0.5000, 0.0928], [0.5000, 0.5000, 0.2768], [0.5000, 0.5000, 0.7232], [0.5000, 0.5000, 0.9072]],
  "mass_density_g_cm3": 7.4,
  "e_form_ev_per_atom": -0.252,
  "space_group": "P4/mmm, No. 123",
  "e_tot_ev_per_atom": -3.594
}